ScPWO2 after structural relaxation. Source: the Alexandria database, functional PBE+U.

- VASP energy (eV/atom) = -7.0719
- polymorph energy (0 for the lowest one) (eV per atom) = 0.000
- space-group type = No. 123

a b c (Å): 3.9273 3.9273 5.2396
angles (deg): 90.00 90.00 90.00
Element x y z (fractional)
P 0.0000 0.0000 0.5000
Sc 0.5000 0.5000 0.5000
O 0.5000 0.0000 0.0000
O 0.0000 0.5000 0.0000
W 0.0000 0.0000 0.0000